[1]
Density functional theory data (PBE) for an optimized crystal structure of NbAl2GaC.

Summary:
* Fermi-level density of states: 0.5248 states/eV/atom
* DFT total energy: -24.72 eV/f.u.
* symmetry: No. 123
* crystal system: tetragonal
* ΔH_f (0 K): 1018 meV/atom

```
NbAl2GaC
1.0
-1.241 -0.026 -4.981
-2.939 -2.844 0.747
-3.412 3.744 0.831
C Nb Al Ga
1 1 2 1
direct
0.000 0.500 0.000
0.000 0.000 0.000
0.000 0.000 0.500
0.500 0.000 0.000
0.500 0.500 0.500
```

***

[2]
Density functional theory data (PBE) for an optimized crystal structure of ReAsAu2.

Summary:
* Fermi-level density of states: 0.7055 states/eV/atom
* DFT total energy: -21.72 eV/f.u.
* symmetry: No. 123
* crystal system: tetragonal
* ΔH_f (0 K): 483 meV/atom

```
ReAsAu2
1.0
-0.670 1.394 2.339
-2.454 -1.353 0.102
3.749 -6.427 4.906
Re As Au
1 1 2
direct
0.500 0.500 0.250
0.500 0.500 0.750
0.000 0.000 0.017
0.000 0.000 0.483
```

***

[3]
Density functional theory data (PBE) for an optimized crystal structure of HfGa3Ir.

Summary:
* Fermi-level density of states: 0.6816 states/eV/atom
* DFT total energy: -26.68 eV/f.u.
* energy relative to the lowest polymorph listed for this composition: 2.98 eV per formula unit
* symmetry: No. 221
* crystal system: cubic
* ΔH_f (0 K): 244 meV/atom

```
HfGa3Ir
1.0
4.743 0.000 0.000
0.000 4.743 0.000
0.000 0.000 4.743
Ir Hf Ga
1 1 3
direct
0.000 0.000 0.000
0.500 0.500 0.500
0.000 0.500 0.000
0.000 0.000 0.500
0.500 0.000 0.000
```

***

[4]
Density functional theory data (PBE) for an optimized crystal structure of Tc2SnP2.

Summary:
* Fermi-level density of states: 0.3881 states/eV/atom
* DFT total energy: -36.64 eV/f.u.
* energy relative to the lowest polymorph listed for this composition: 0.00 eV per formula unit
* symmetry: No. 139
* crystal system: tetragonal
* ΔH_f (0 K): -218 meV/atom

```
Tc2SnP2
1.0
-2.272 -0.101 -2.872
2.519 -1.834 -1.928
-2.135 -6.138 -0.433
P Sn Tc
2 1 2
direct
0.750 0.250 0.500
0.250 0.750 0.500
0.000 0.000 0.000
0.376 0.376 0.248
0.624 0.624 0.752
```

***

What is the DFT total energy in the first record?
-24.72 eV/f.u.

***

Which formula does entry 4 have?
Tc2SnP2